a | This record from Alexandria via LeMat-Bulk describes a relaxed structure of NiGe3F. The functional is PBE+U.

Cell: 4.448 4.448 4.448 Å, 90.00 90.00 90.00°
Space group Pm-3m (No. 221)
Asymmetric unit:
Ni 0.000 0.000 0.000 x1
Ge 0.000 0.500 0.500 x3
F 0.500 0.500 0.500 x1

Properties
* calculated volume: 88 Å³/cell
* theoretical density: 5.58 g/cm³

***

b | This record from Alexandria via LeMat-Bulk describes a relaxed structure of NiGe3F. The functional is PBE+U.

Cell: 4.529 4.529 4.529 Å, 90.00 90.00 90.00°
Space group Pm-3m (No. 221)
Asymmetric unit:
Ni 0.000 0.000 0.000 x1
Ge 0.000 0.000 0.500 x3
F 0.500 0.500 0.500 x1

Properties
* calculated volume: 93 Å³/cell
* theoretical density: 5.28 g/cm³

***

Pick the most stable structure from those above. Pick: b